(1)
Crystalline Rb3Na at its relaxed geometry. Source: Alexandria, functional PBE.

Lattice parameters (Å, degrees): 5.181 7.631 8.939 115.26 106.84 90.00
Sites, in units of the cell vectors:
Na  0.000  0.925  0.000
Rb  0.280  0.692  0.561
Rb  0.500  0.419  0.000
Rb  0.720  0.131  0.439

Calculated total energy ... -1.02 eV/atom
Fermi-level density of states ... 0.795 states/eV per atom
ΔH_f (0 K) ... 12 kJ/mol of formula units
Magnetic moment ... 0.00 μB/atom
Space-group type ... Imm2

***

(2)
Crystalline MgAl2OsBr at its relaxed geometry. Source: Alexandria, functional PBE.

Lattice parameters (Å, degrees): 5.038 4.693 5.038 90.00 90.00 90.00
Last column: magnetic moment on the atom in μB.
Sites, in units of the cell vectors:
Mg  0.500  0.500  0.500  0.00
Os  0.000  0.500  0.000  0.10
Al  0.000  0.000  0.500  0.00
Al  0.500  0.000  0.000  0.00
Br  0.000  0.000  0.000  0.00

Calculated total energy ... -3.02 eV/atom
Fermi-level density of states ... 0.910 states/eV per atom
Magnetic moment ... 0.02 μB/atom
Uncorrected formation energy ... 1.3813 eV per atom
Space-group type ... P4/mmm

***

(3)
Crystalline Pr8Tl2Rh at its relaxed geometry. Source: Alexandria, functional PBE.

Lattice parameters (Å, degrees): 5.867 9.585 9.585 121.05 108.76 108.76
Sites, in units of the cell vectors:
Pr  0.745  0.415  0.184
Pr  0.745  0.184  0.415
Pr  0.976  0.120  0.120
Pr  0.006  0.224  0.823
Pr  0.006  0.823  0.224
Pr  0.634  0.631  0.631
Pr  0.284  0.907  0.668
Pr  0.284  0.668  0.907
Tl  0.497  0.719  0.325
Tl  0.497  0.325  0.719
Rh  0.324  0.015  0.015

Calculated total energy ... -4.82 eV/atom
Fermi-level density of states ... 1.125 states/eV per atom
Distance to the lowest polymorph of the same formula ... 0.008 eV/atom
ΔH_f (0 K) ... -258 kJ/mol of formula units
Magnetic moment ... 0.00 μB/atom
Space-group type ... Cm